A relaxed GaHgI2 crystal. Source: Alexandria via LeMat-Bulk, functional GGA-PBE.

```
GaHgI2
1.0
8.778 0.000 0.000
0.000 8.778 0.000
4.389 4.389 6.347
Ga Hg I
2 2 4
Direct
0.250 0.750 0.500
0.500 0.500 0.000
0.750 0.250 0.500
0.000 0.000 0.000
0.375 0.567 0.750
0.317 0.625 0.250
0.433 0.125 0.250
0.875 0.683 0.750
```

Summary:
The density is 3.560 g cm⁻³. The crystal system is tetragonal. The calculation puts the energy relative to the elements, uncorrected at -0.231 eV/atom. For the density of states at the Fermi level, the calculation gives 0.105 states/eV/cell. The calculation puts the raw total energy at -1.838 eV per atom.


A relaxed Ga3HgI3 crystal. Source: Alexandria via LeMat-Bulk, functional GGA-PBE.

```
Ga3HgI3
1.0
7.819 -0.009 2.418
1.646 6.734 4.039
-1.808 0.643 10.116
Ga I Hg
6 6 2
Direct
0.404 0.725 0.094
0.272 0.934 0.589
0.728 0.066 0.411
0.596 0.275 0.906
0.951 0.581 0.256
0.049 0.419 0.744
0.904 0.239 0.566
0.411 0.096 0.773
0.096 0.761 0.434
0.239 0.574 0.901
0.589 0.904 0.227
0.761 0.426 0.099
0.660 0.673 0.663
0.340 0.327 0.337
```

Summary:
The density is 4.821 g cm⁻³. The crystal system is triclinic. The calculation puts the energy relative to the elements, uncorrected at -0.268 eV/atom. For the density of states at the Fermi level, the calculation gives 0.000 states/eV/cell. The calculation puts the raw total energy at -2.273 eV per atom.


A relaxed GaHgI3 crystal. Source: Alexandria via LeMat-Bulk, functional GGA-PBE.

```
GaHgI3
1.0
4.333 0.000 0.000
0.000 7.962 0.000
-2.166 0.000 11.930
I Hg Ga
6 2 2
Direct
0.088 0.825 0.176
0.769 0.603 0.539
0.584 0.349 0.168
0.416 0.849 0.832
0.912 0.325 0.824
0.231 0.103 0.461
0.360 0.529 0.720
0.640 0.029 0.280
0.168 0.488 0.336
0.832 0.988 0.664
```

Summary:
The density is 5.254 g cm⁻³. The crystal system is orthorhombic. The calculation puts the energy relative to the elements, uncorrected at -0.261 eV/atom. The calculation puts the raw total energy at -1.857 eV per atom.


A relaxed Ga2HgI2 crystal. Source: Alexandria via LeMat-Bulk, functional GGA-PBE.

```
Ga2HgI2
1.0
4.663 0.000 0.000
0.000 6.519 -0.552
0.000 0.209 11.961
Ga I Hg
4 4 2
Direct
0.250 0.847 0.576
0.250 0.632 0.208
0.750 0.153 0.424
0.750 0.368 0.792
0.250 0.377 0.622
0.750 0.623 0.378
0.250 0.109 0.247
0.750 0.891 0.753
0.750 0.697 0.042
0.250 0.303 0.958
```

Summary:
The density is 5.416 g cm⁻³. The crystal system is monoclinic. The calculation puts the energy relative to the elements, uncorrected at -0.251 eV/atom. The calculation puts the raw total energy at -2.142 eV per atom.


A relaxed Ga4Hg3I4 crystal. Source: Alexandria via LeMat-Bulk, functional GGA-PBE.

```
Ga4Hg3I4
1.0
6.428 0.000 -0.929
-0.258 4.298 -1.782
-1.024 -0.993 15.617
Ga Hg I
4 3 4
Direct
0.628 0.891 0.256
0.202 0.610 0.404
0.372 0.109 0.744
0.798 0.390 0.596
0.442 0.812 0.885
0.000 0.000 0.000
0.558 0.188 0.115
0.124 0.881 0.248
0.704 0.617 0.409
0.876 0.119 0.752
0.296 0.383 0.591
```

Summary:
The density is 5.544 g cm⁻³. The crystal system is monoclinic. The calculation puts the energy relative to the elements, uncorrected at -0.231 eV/atom. The calculation puts the raw total energy at -1.978 eV per atom.


A relaxed GaHg2I8 crystal. Source: Alexandria via LeMat-Bulk, functional GGA-PBE.

```
GaHg2I8
1.0
-5.247 -1.010 4.752
6.552 -3.737 1.060
1.755 11.334 4.347
I Hg Ga
8 2 1
Direct
0.829 0.657 0.465
0.456 0.911 0.318
0.390 0.275 0.117
0.171 0.343 0.535
0.544 0.089 0.682
0.114 0.725 0.883
0.610 0.725 0.883
0.886 0.275 0.117
0.657 0.314 0.533
0.343 0.686 0.467
0.000 0.000 0.000
```

Summary:
The density is 4.413 g cm⁻³. The crystal system is monoclinic. The calculation puts the energy relative to the elements, uncorrected at -0.187 eV/atom. For the density of states at the Fermi level, the calculation gives 2.712 states/eV/cell. The calculation puts the raw total energy at -1.644 eV per atom.


A relaxed Ga2HgI5 crystal. Source: Alexandria via LeMat-Bulk, functional GGA-PBE.

```
Ga2HgI5
1.0
-2.978 1.387 2.698
-3.922 -0.064 -7.642
-7.149 -22.858 3.860
Ga I Hg
4 10 2
Direct
0.100 0.193 0.841
0.100 0.193 0.659
0.900 0.807 0.341
0.900 0.807 0.159
0.606 0.221 0.250
0.985 0.977 0.429
0.394 0.779 0.750
0.707 0.408 0.845
0.985 0.977 0.071
0.015 0.023 0.929
0.293 0.592 0.155
0.293 0.592 0.345
0.707 0.408 0.655
0.015 0.023 0.571
0.014 0.019 0.750
0.986 0.981 0.250
```

Summary:
The density is 3.770 g cm⁻³. The crystal system is monoclinic. The calculation puts the energy relative to the elements, uncorrected at -0.305 eV/atom. For the density of states at the Fermi level, the calculation gives 5.754 states/eV/cell. The calculation puts the raw total energy at -2.069 eV per atom.


A relaxed Ga2HgI2 crystal. Source: Alexandria via LeMat-Bulk, functional GGA-PBE.

```
Ga2HgI2
1.0
5.942 0.000 0.000
0.000 5.942 0.000
2.971 2.971 6.656
Ga I Hg
2 2 1
Direct
0.750 0.250 0.500
0.250 0.750 0.500
0.339 0.339 0.322
0.661 0.661 0.678
0.000 0.000 0.000
```

Summary:
The density is 4.195 g cm⁻³. The crystal system is tetragonal. The calculation puts the energy relative to the elements, uncorrected at -0.159 eV/atom. For the density of states at the Fermi level, the calculation gives 0.000 states/eV/cell. The calculation puts the raw total energy at -2.050 eV per atom.


A relaxed GaHgI2 crystal. Source: Alexandria via LeMat-Bulk, functional GGA-PBE.

```
GaHgI2
1.0
-2.635 -2.441 2.874
-2.501 -3.515 -1.598
4.150 -6.758 1.746
Hg I Ga
1 2 1
Direct
0.500 0.500 0.500
0.256 0.256 0.231
0.744 0.744 0.769
0.000 0.000 0.000
```

Summary:
The density is 6.189 g cm⁻³. The crystal system is trigonal. The calculation puts the energy relative to the elements, uncorrected at -0.174 eV/atom. For the density of states at the Fermi level, the calculation gives 2.526 states/eV/cell. The calculation puts the raw total energy at -1.782 eV per atom.


A relaxed Ga2Hg2I7 crystal. Source: Alexandria via LeMat-Bulk, functional GGA-PBE.

```
Ga2Hg2I7
1.0
-3.961 -4.854 -11.045
3.583 -2.757 6.221
-7.158 -2.071 2.856
Ga I Hg
2 7 2
Direct
0.195 0.384 0.888
0.812 0.624 0.110
0.402 0.825 0.024
0.606 0.562 0.274
0.017 0.362 0.739
0.792 0.585 0.792
0.329 0.308 0.691
0.852 0.381 0.250
0.078 0.106 0.169
0.441 0.037 0.667
0.476 0.824 0.397
```

Summary:
The density is 4.347 g cm⁻³. The crystal system is triclinic. The calculation puts the energy relative to the elements, uncorrected at -0.352 eV/atom. For the density of states at the Fermi level, the calculation gives 2.224 states/eV/cell. The calculation puts the raw total energy at -1.944 eV per atom.


A relaxed Ga2Hg2I crystal. Source: Alexandria via LeMat-Bulk, functional GGA-PBE.

```
Ga2Hg2I
1.0
-4.580 -4.365 -5.856
-4.707 -3.521 6.306
-2.427 2.845 -0.223
Ga Hg I
4 4 2
Direct
0.325 0.175 0.500
0.175 0.675 0.500
0.825 0.325 0.500
0.675 0.825 0.500
0.371 0.871 0.000
0.129 0.371 0.000
0.871 0.629 0.000
0.629 0.129 0.000
0.500 0.500 0.000
0.000 0.000 0.000
```

Summary:
The density is 7.962 g cm⁻³. The crystal system is tetragonal. The calculation puts the energy relative to the elements, uncorrected at 0.051 eV/atom. For the density of states at the Fermi level, the calculation gives 4.034 states/eV/cell. The calculation puts the raw total energy at -1.590 eV per atom.


A relaxed Ga3HgI8 crystal. Source: Alexandria via LeMat-Bulk, functional GGA-PBE.

```
Ga3HgI8
1.0
-5.041 2.922 5.163
1.302 -2.855 7.124
6.108 7.271 1.664
I Hg Ga
8 1 3
Direct
0.725 0.252 0.752
0.275 0.748 0.248
0.744 0.744 0.033
0.256 0.256 0.517
0.252 0.725 0.752
0.744 0.744 0.483
0.256 0.256 0.967
0.748 0.275 0.248
0.000 0.000 0.000
0.637 0.637 0.256
0.363 0.363 0.744
0.000 0.000 0.500
```

Summary:
The density is 4.344 g cm⁻³. The crystal system is monoclinic. The calculation puts the energy relative to the elements, uncorrected at -0.368 eV/atom. For the density of states at the Fermi level, the calculation gives 4.342 states/eV/cell. The calculation puts the raw total energy at -2.183 eV per atom.


A relaxed GaHg14I crystal. Source: Alexandria via LeMat-Bulk, functional GGA-PBE.

```
GaHg14I
1.0
6.456 0.000 0.000
-3.228 6.873 0.000
0.000 0.000 10.879
Hg Ga I
14 1 1
Direct
0.346 0.692 0.247
0.704 0.408 0.000
0.788 0.575 0.295
0.682 0.850 0.000
0.788 0.575 0.705
0.825 0.140 0.233
0.315 0.140 0.233
0.198 0.396 0.000
0.694 0.878 0.500
0.315 0.140 0.767
0.169 0.850 0.000
0.184 0.878 0.500
0.825 0.140 0.767
0.346 0.692 0.753
0.632 0.264 0.500
0.190 0.379 0.500
```

Summary:
The density is 10.337 g cm⁻³. The crystal system is orthorhombic. The calculation puts the energy relative to the elements, uncorrected at -0.013 eV/atom. For the density of states at the Fermi level, the calculation gives 1.481 states/eV/cell. The calculation puts the raw total energy at -0.564 eV per atom.


A relaxed GaHg8I2 crystal. Source: Alexandria via LeMat-Bulk, functional GGA-PBE.

```
GaHg8I2
1.0
-5.125 -4.084 0.129
1.930 -7.687 3.602
-2.036 -2.568 8.065
Ga Hg I
1 8 2
Direct
0.000 0.000 0.000
0.089 0.863 0.358
0.911 0.642 0.137
0.911 0.137 0.642
0.223 0.723 0.723
0.289 0.427 0.427
0.711 0.573 0.573
0.089 0.358 0.863
0.777 0.277 0.277
0.509 0.850 0.850
0.491 0.150 0.150
```

Summary:
The density is 8.866 g cm⁻³. The crystal system is monoclinic. The calculation puts the energy relative to the elements, uncorrected at -0.087 eV/atom. For the density of states at the Fermi level, the calculation gives 1.429 states/eV/cell. The calculation puts the raw total energy at -0.864 eV per atom.


A relaxed GaHg5I2 crystal. Source: Alexandria via LeMat-Bulk, functional GGA-PBE.

```
GaHg5I2
1.0
6.470 1.397 -3.390
-1.854 6.354 -3.390
-0.731 -1.226 7.621
I Hg Ga
2 5 1
Direct
0.222 0.674 0.512
0.674 0.222 0.512
0.392 0.392 0.965
0.727 0.121 0.962
0.121 0.727 0.962
0.108 0.108 0.411
0.730 0.730 0.513
0.250 0.250 0.164
```

Summary:
The density is 7.699 g cm⁻³. The crystal system is monoclinic. The calculation puts the energy relative to the elements, uncorrected at -0.098 eV/atom. For the density of states at the Fermi level, the calculation gives 1.584 states/eV/cell. The calculation puts the raw total energy at -1.053 eV per atom.


A relaxed GaHgI3 crystal. Source: Alexandria via LeMat-Bulk, functional GGA-PBE.

```
GaHgI3
1.0
-3.431 -4.098 -1.931
3.558 -0.938 -4.331
2.805 -3.823 3.132
Hg I Ga
1 3 1
Direct
0.500 0.500 0.500
0.000 0.500 0.000
0.000 0.000 0.500
0.500 0.000 0.000
0.000 0.000 0.000
```

Summary:
The density is 5.891 g cm⁻³. The crystal system is cubic. The calculation puts the energy relative to the elements, uncorrected at -0.124 eV/atom. For the density of states at the Fermi level, the calculation gives 1.895 states/eV/cell. The calculation puts the raw total energy at -1.720 eV per atom.


A relaxed GaHgI2 crystal. Source: Alexandria via LeMat-Bulk, functional GGA-PBE.

```
GaHgI2
1.0
-2.969 2.378 -2.059
-2.259 -4.451 -1.882
-3.485 2.451 5.948
Hg I Ga
1 2 1
Direct
0.750 0.260 0.500
0.030 0.786 0.791
0.469 0.495 0.209
0.250 0.959 0.500
```

Summary:
The density is 5.586 g cm⁻³. The crystal system is monoclinic. The calculation puts the energy relative to the elements, uncorrected at -0.264 eV/atom. For the density of states at the Fermi level, the calculation gives 0.611 states/eV/cell. The calculation puts the raw total energy at -1.872 eV per atom.


A relaxed GaHg4I crystal. Source: Alexandria via LeMat-Bulk, functional GGA-PBE.

```
GaHg4I
1.0
6.995 0.134 -2.522
-0.597 7.386 -2.009
-0.938 -0.696 8.359
Hg I Ga
8 2 2
Direct
0.467 0.933 0.137
0.768 0.303 0.585
0.232 0.697 0.415
0.307 0.528 0.854
0.693 0.472 0.146
0.839 0.820 0.630
0.161 0.180 0.370
0.533 0.067 0.863
0.893 0.759 0.016
0.107 0.241 0.984
0.000 0.500 0.500
0.500 0.000 0.500
```

Summary:
The density is 8.203 g cm⁻³. The crystal system is triclinic. The calculation puts the energy relative to the elements, uncorrected at -0.044 eV/atom. For the density of states at the Fermi level, the calculation gives 2.430 states/eV/cell. The calculation puts the raw total energy at -1.008 eV per atom.


A relaxed Ga6HgI12 crystal. Source: Alexandria via LeMat-Bulk, functional GGA-PBE.

```
Ga6HgI12
1.0
9.149 -0.946 -2.191
-2.549 8.837 -2.191
-0.791 -0.946 9.374
Ga I Hg
6 12 1
Direct
0.583 0.197 0.737
0.737 0.583 0.197
0.263 0.417 0.803
0.803 0.263 0.417
0.197 0.737 0.583
0.417 0.803 0.263
0.536 0.843 0.606
0.235 0.078 0.697
0.157 0.394 0.464
0.922 0.303 0.765
0.765 0.922 0.303
0.606 0.536 0.843
0.078 0.697 0.235
0.394 0.464 0.157
0.303 0.765 0.922
0.697 0.235 0.078
0.843 0.606 0.536
0.464 0.157 0.394
0.000 0.000 0.000
```

Summary:
The density is 5.124 g cm⁻³. The crystal system is trigonal. The calculation puts the energy relative to the elements, uncorrected at -0.295 eV/atom. For the density of states at the Fermi level, the calculation gives 5.629 states/eV/cell. The calculation puts the raw total energy at -2.246 eV per atom.


A relaxed GaHgI2 crystal. Source: Alexandria via LeMat-Bulk, functional GGA-PBE.

```
GaHgI2
1.0
4.112 0.000 0.000
2.056 3.561 0.000
2.056 1.187 10.454
Ga I Hg
1 2 1
Direct
0.666 0.666 0.001
0.276 0.276 0.173
0.057 0.057 0.830
0.501 0.501 0.496
```

Summary:
The density is 5.684 g cm⁻³. The crystal system is trigonal. The calculation puts the energy relative to the elements, uncorrected at -0.206 eV/atom. For the density of states at the Fermi level, the calculation gives 2.267 states/eV/cell. The calculation puts the raw total energy at -1.813 eV per atom.


A relaxed Ga3HgI3 crystal. Source: Alexandria via LeMat-Bulk, functional GGA-PBE.

```
Ga3HgI3
1.0
-4.565 7.826 0.071
-0.729 -0.343 -9.024
-7.792 -4.553 0.803
Hg I Ga
2 6 6
Direct
0.500 0.500 0.500
0.000 0.000 0.000
0.250 0.500 0.000
0.500 0.000 0.750
0.500 0.000 0.250
0.000 0.250 0.500
0.000 0.750 0.500
0.750 0.500 0.000
0.000 0.500 0.250
0.750 0.000 0.500
0.250 0.000 0.500
0.500 0.250 0.000
0.000 0.500 0.750
0.500 0.750 0.000
```

Summary:
The density is 3.530 g cm⁻³. The crystal system is cubic. The calculation puts the energy relative to the elements, uncorrected at -0.187 eV/atom. For the density of states at the Fermi level, the calculation gives 0.000 states/eV/cell. The calculation puts the raw total energy at -2.192 eV per atom.


A relaxed GaHg4I2 crystal. Source: Alexandria via LeMat-Bulk, functional GGA-PBE.

```
GaHg4I2
1.0
-0.124 -4.252 0.428
7.163 -2.517 -1.915
-0.800 2.928 7.550
Hg I Ga
4 2 1
Direct
0.369 0.258 0.991
0.294 0.675 0.268
0.706 0.325 0.732
0.631 0.742 0.009
0.894 0.798 0.594
0.106 0.202 0.406
0.000 0.000 0.000
```

Summary:
The density is 8.015 g cm⁻³. The crystal system is triclinic. The calculation puts the energy relative to the elements, uncorrected at -0.107 eV/atom. For the density of states at the Fermi level, the calculation gives 1.554 states/eV/cell. The calculation puts the raw total energy at -1.155 eV per atom.